# CrSiRu2

CrSiRu2 at its PBEsol-relaxed geometry (SCAN, Alexandria).

Unit cell a=4.1425 b=4.1425 c=2.9141 alpha=90.00 beta=90.00 gamma=90.00
Closest atoms and distances in Å follow each position.
Fractional coordinates of all 4 atoms:
Cr  0.0000  0.0000  0.0000  8 Ru 2.53
Si  0.5000  0.5000  0.0000  8 Ru 2.53
Ru  0.0000  0.5000  0.5000  4 Cr 2.53, 4 Si 2.53
Ru  0.5000  0.0000  0.5000  4 Cr 2.53, 4 Si 2.53

Results
* space-group type: P4/mmm, No. 123
* density: 9.4 g cm⁻³
* E_form (uncorrected): -2.0 eV/f.u.
* total magnetic moment: 2.1 μB per cell